one) A geometry-optimized PuTl2Sb structure, computed with GGA-PBE.

Unit cell a=12.120 b=12.120 c=12.120 alpha=16.29 beta=16.29 gamma=16.29
Positions (direct):
Pu 0.000 0.000 0.000
Tl 0.091 0.091 0.091
Tl 0.909 0.909 0.909
Sb 0.500 0.500 0.500



two) A geometry-optimized PuTl2Sb structure, computed with GGA-PBE.

Unit cell a=4.621 b=4.621 c=5.135 alpha=90.00 beta=90.00 gamma=90.00
Positions (direct):
Pu 0.000 0.000 0.000
Tl 0.000 0.500 0.500
Tl 0.500 0.000 0.500
Sb 0.500 0.500 0.000



Stability verdict: two), ahead by 481 meV/atom